DFT (GGA-PBE) results for a geometry-optimized LaBe2Ag structure.

The structure in CIF format:
```
data_LaBe2Ag
_cell_length_a 7.055
_cell_length_b 4.071
_cell_length_c 5.723
_cell_angle_alpha 90.00
_cell_angle_beta 114.15
_cell_angle_gamma 90.00
_symmetry_space_group_name_H-M 'C 1 2/m 1'
_symmetry_Int_Tables_number 12
loop_
_symmetry_equiv_pos_as_xyz
'x,y,z'
'-x,-y,-z'
'-x,y,-z'
'x,-y,z'
'x+1/2,y+1/2,z'
'-x+1/2,-y+1/2,-z'
'-x+1/2,y+1/2,-z'
'x+1/2,-y+1/2,z'
loop_
_atom_site_label
_atom_site_type_symbol
_atom_site_fract_x
_atom_site_fract_y
_atom_site_fract_z
_atom_site_occupancy
La1 La 0.000 0.000 0.000 1
Be1 Be 0.193 0.000 0.577 1
Ag1 Ag 0.000 0.500 0.500 1
```

=====

DFT (GGA-PBE) results for a geometry-optimized LaBeAg structure.

The structure in CIF format:
```
data_LaBeAg
_cell_length_a 3.251
_cell_length_b 3.251
_cell_length_c 11.486
_cell_angle_alpha 90.00
_cell_angle_beta 90.00
_cell_angle_gamma 90.00
_symmetry_space_group_name_H-M 'I 4 m m'
_symmetry_Int_Tables_number 107
_symmetry_space_group_name_Hall 'I 4 -2'
loop_
_atom_site_label
_atom_site_type_symbol
_atom_site_fract_x
_atom_site_fract_y
_atom_site_fract_z
_atom_site_occupancy
La1 La 0.000 0.000 0.000 1
Be1 Be 0.000 0.000 0.697 1
Ag1 Ag 0.000 0.000 0.285 1
```

=====

DFT (GGA-PBE) results for a geometry-optimized LaBe2Ag2 structure.

The structure in CIF format:
```
data_LaBe2Ag2
_cell_length_a 4.340
_cell_length_b 4.340
_cell_length_c 9.826
_cell_angle_alpha 90.00
_cell_angle_beta 90.00
_cell_angle_gamma 90.00
_symmetry_space_group_name_H-M 'I 4/m m m'
_symmetry_Int_Tables_number 139
_symmetry_space_group_name_Hall '-I 4 2'
loop_
_atom_site_label
_atom_site_type_symbol
_atom_site_fract_x
_atom_site_fract_y
_atom_site_fract_z
_atom_site_occupancy
La1 La 0.000 0.000 0.000 1
Be1 Be 0.000 0.500 0.250 1
Ag1 Ag 0.000 0.000 0.356 1
```

=====

DFT (GGA-PBE) results for a geometry-optimized LaBe2Ag structure.

The structure in CIF format:
```
data_LaBe2Ag
_cell_length_a 6.606
_cell_length_b 6.606
_cell_length_c 6.606
_cell_angle_alpha 90.00
_cell_angle_beta 90.00
_cell_angle_gamma 90.00
_symmetry_space_group_name_H-M 'F m -3 m'
_symmetry_Int_Tables_number 225
_symmetry_space_group_name_Hall '-F 4 2 3'
loop_
_atom_site_label
_atom_site_type_symbol
_atom_site_fract_x
_atom_site_fract_y
_atom_site_fract_z
_atom_site_occupancy
La1 La 0.000 0.000 0.000 1
Be1 Be 0.250 0.250 0.250 1
Ag1 Ag 0.000 0.000 0.500 1
```

=====

DFT (GGA-PBE) results for a geometry-optimized LaBeAg2 structure.

The structure in CIF format:
```
data_LaBeAg2
_cell_length_a 3.294
_cell_length_b 4.899
_cell_length_c 5.243
_cell_angle_alpha 90.00
_cell_angle_beta 90.00
_cell_angle_gamma 90.00
_symmetry_space_group_name_H-M 'P m m m'
_symmetry_Int_Tables_number 47
loop_
_symmetry_equiv_pos_as_xyz
'x,y,z'
'-x,-y,-z'
'-x,-y,z'
'x,y,-z'
'x,-y,-z'
'-x,y,z'
'-x,y,-z'
'x,-y,z'
loop_
_atom_site_label
_atom_site_type_symbol
_atom_site_fract_x
_atom_site_fract_y
_atom_site_fract_z
_atom_site_occupancy
La1 La 0.000 0.000 0.000 1
Be1 Be 0.500 0.500 0.000 1
Ag1 Ag 0.000 0.500 0.500 1
Ag2 Ag 0.500 0.000 0.500 1
```

=====

DFT (GGA-PBE) results for a geometry-optimized LaBe3Ag structure.

The structure in CIF format:
```
data_LaBe3Ag
_cell_length_a 5.068
_cell_length_b 5.068
_cell_length_c 5.068
_cell_angle_alpha 90.00
_cell_angle_beta 90.00
_cell_angle_gamma 90.00
_symmetry_space_group_name_H-M 'P m -3 m'
_symmetry_Int_Tables_number 221
_symmetry_space_group_name_Hall '-P 4 2 3'
loop_
_atom_site_label
_atom_site_type_symbol
_atom_site_fract_x
_atom_site_fract_y
_atom_site_fract_z
_atom_site_occupancy
La1 La 0.000 0.000 0.000 1
Be1 Be 0.000 0.000 0.500 1
Ag1 Ag 0.500 0.500 0.500 1
```

=====

Calculated energy relative to the elements, 0.47; 2.48; 0.42; 5.54; 7.48; 45.56 kcal/mol of atoms (same order as the records).
Calculated DOS(E_F), 3.13; 3.31; 2.99; 0.91; 3.73; 3.20 states/eV/f.u. (same order as the records).
Calculated E_tot, -3.79; -3.73; -3.60; -3.57; -3.26; -1.82 eV/atom (same order as the records).